No. 1
## Rb3YCd (PBE-GGA)

Data for a relaxed structure of Rb3YCd.

Properties
crystal system = cubic
total magnetization = 0.836 Bohr magnetons per cell
energy above the most stable polymorph in this dataset = 0.0000 eV/atom
DOS(E_F) = 1.28 states/eV per atom
formation energy = 0.63 eV per atom

Cell lengths 6.910, 6.910, 6.910 Å; angles 90.00, 90.00, 90.00 degrees
Space group Pm-3m (No. 221)
Asymmetric unit:
Rb 0.000 0.000 0.500 [3 per cell]
Y 0.500 0.500 0.500 [1 per cell]
Cd 0.000 0.000 0.000 [1 per cell]

***

No. 2
## ScZnCu (PBE-GGA)

Data for a relaxed structure of ScZnCu.

Properties
crystal system = cubic
total magnetization = 0.002 Bohr magnetons per cell
DOS(E_F) = 1.03 states/eV per atom
formation energy = -0.10 eV per atom

Cell lengths 6.061, 6.061, 6.061 Å; angles 90.00, 90.00, 90.00 degrees
Space group F-43m (No. 216)
Asymmetric unit:
Sc 0.000 0.000 0.000 [4 per cell]
Zn 0.000 0.000 0.500 [4 per cell]
Cu 0.250 0.250 0.250 [4 per cell]

***

No. 3
## LiFeAs (PBE-GGA)

Data for a relaxed structure of LiFeAs.

Properties
crystal system = orthorhombic
total magnetization = 9.327 Bohr magnetons per cell
DOS(E_F) = 0.76 states/eV per atom
formation energy = 0.06 eV per atom

Cell lengths 3.530, 4.331, 11.743 Å; angles 90.00, 90.00, 90.00 degrees
Space group Fmm2 (No. 42)
Asymmetric unit:
Li 0.000 0.000 0.000 [4 per cell]
Fe 0.000 0.000 0.323 [4 per cell]
As 0.000 0.000 0.680 [4 per cell]

***

No. 4
## KCuMo2 (PBE-GGA)

Data for a relaxed structure of KCuMo2.

Properties
crystal system = orthorhombic
total magnetization = 0.000 Bohr magnetons per cell
energy above the most stable polymorph in this dataset = 0.0035 eV/atom
DOS(E_F) = 0.67 states/eV per atom
formation energy = 0.69 eV per atom

Cell lengths 3.237, 4.643, 10.029 Å; angles 90.00, 90.00, 90.00 degrees
Space group Cmm2 (No. 35)
Asymmetric unit:
K 0.000 0.000 0.000 [2 per cell]
Cu 0.000 0.500 0.721 [2 per cell]
Mo 0.000 0.000 0.515 [2 per cell]
Mo 0.000 0.500 0.314 [2 per cell]

***

No. 5
## Nb2TlCoC (PBE-GGA)

Data for a relaxed structure of Nb2TlCoC.

Properties
crystal system = tetragonal
total magnetization = 0.004 Bohr magnetons per cell
DOS(E_F) = 1.83 states/eV per atom
formation energy = 3.23 eV per atom

Cell lengths 5.126, 5.126, 4.562 Å; angles 90.00, 90.00, 90.00 degrees
Space group P4/mmm (No. 123)
Asymmetric unit:
Nb 0.000 0.500 0.000 [2 per cell]
Tl 0.000 0.000 0.000 [1 per cell]
Co 0.000 0.000 0.500 [1 per cell]
C 0.500 0.500 0.500 [1 per cell]

***

No. 6
## MnAl2Fe (PBE-GGA)

Data for a relaxed structure of MnAl2Fe.

Properties
crystal system = trigonal
total magnetization = 3.768 Bohr magnetons per cell
DOS(E_F) = 0.69 states/eV per atom
formation energy = -0.03 eV per atom

Cell lengths 2.6916, 2.6916, 24.6466 Å; angles 90.00, 90.00, 120.00 degrees
Space group R3m (No. 160, hexagonal axes)
Asymmetric unit:
Mn 0.0000 0.0000 0.0000 [3 per cell]
Al 0.0000 0.0000 0.5115 [3 per cell]
Al 0.0000 0.0000 0.7493 [3 per cell]
Fe 0.0000 0.0000 0.2599 [3 per cell]

***

No. 7
## La6Pm2Tm3 (PBE-GGA)

Data for a relaxed structure of La6Pm2Tm3.

Properties
crystal system = triclinic
total magnetization = 0.000 Bohr magnetons per cell
DOS(E_F) = 1.58 states/eV per atom
formation energy = 0.02 eV per atom

Cell lengths 6.309, 8.161, 8.191 Å; angles 107.58, 97.23, 104.62 degrees
Space group P-1 (No. 2)
Asymmetric unit:
La 0.046 0.184 0.412 [2 per cell]
La 0.226 0.907 0.049 [2 per cell]
La 0.315 0.273 0.862 [2 per cell]
Pm 0.410 0.637 0.680 [2 per cell]
Tm 0.137 0.546 0.228 [2 per cell]
Tm 0.500 0.000 0.500 [1 per cell]

***

No. 8
## Be2CoB (PBE-GGA)

Data for a relaxed structure of Be2CoB.

Properties
crystal system = tetragonal
total magnetization = 0.000 Bohr magnetons per cell
DOS(E_F) = 0.37 states/eV per atom
formation energy = -0.16 eV per atom

Cell lengths 3.086, 3.086, 3.194 Å; angles 90.00, 90.00, 90.00 degrees
Space group P4/mmm (No. 123)
Asymmetric unit:
Be 0.000 0.500 0.000 [2 per cell]
Co 0.000 0.000 0.500 [1 per cell]
B 0.500 0.500 0.500 [1 per cell]